Entry 1:
! CaHg2Pt GGA-PBEsol relaxed; values from VASP
&SYSTEM
  ibrav = 0, nat = 4, ntyp = 3
/
ATOMIC_SPECIES
Hg 200.59 Hg.upf
Pt 195.08 Pt.upf
Ca 40.08 Ca.upf
CELL_PARAMETERS angstrom
-0.878 -0.779 -3.668
-0.206 -3.919 0.881
-5.178 0.961 3.057
ATOMIC_POSITIONS angstrom
Hg -5.184 -1.443 1.547
Pt -3.264 0.332 0.711
Hg -0.583 0.059 0.127
Ca -3.035 -2.095 -0.850
! Total magnetic moment   0.000 μB per cell
! Energy relative to the elements   -417 meV/atom
! Electronic total energy   -2.98 eV per atom
! Volume   89.48 Å³/cell

Entry 2:
! Ca2HgPtRh GGA-PBEsol relaxed; values from VASP
&SYSTEM
  ibrav = 0, nat = 5, ntyp = 4
/
ATOMIC_SPECIES
Pt 195.08 Pt.upf
Ca 40.08 Ca.upf
Hg 200.59 Hg.upf
Rh 102.91 Rh.upf
CELL_PARAMETERS angstrom
-0.746 4.762 0.759
-5.198 -0.998 1.149
1.276 -0.632 5.226
ATOMIC_POSITIONS angstrom
Pt -0.373 2.381 0.379
Ca 0.638 -0.316 2.613
Hg 0.000 0.000 0.000
Ca -2.599 -0.499 0.574
Rh -2.334 1.566 3.567
! Total magnetic moment   0.003 μB per cell
! Energy relative to the elements   705 meV/atom
! Electronic total energy   -3.28 eV per atom
! Volume   143.15 Å³/cell

Entry 3:
! RbCaHg2 GGA-PBEsol relaxed; values from VASP
&SYSTEM
  ibrav = 0, nat = 4, ntyp = 3
/
ATOMIC_SPECIES
Hg 200.59 Hg.upf
Ca 40.08 Ca.upf
Rb 85.47 Rb.upf
CELL_PARAMETERS angstrom
-0.361 -3.478 4.351
2.412 -5.028 -0.238
4.519 -1.077 3.095
ATOMIC_POSITIONS angstrom
Hg 1.642 -2.396 1.802
Ca 0.000 0.000 0.000
Rb 3.285 -4.792 3.604
Hg 4.927 -7.188 5.406
! Total magnetic moment   0.000 μB per cell
! Energy relative to the elements   -208 meV/atom
! Electronic total energy   -1.28 eV per atom
! Volume   123.00 Å³/cell

Entry 4:
! RbCa3Hg GGA-PBEsol relaxed; values from VASP
&SYSTEM
  ibrav = 0, nat = 5, ntyp = 3
/
ATOMIC_SPECIES
Ca 40.08 Ca.upf
Hg 200.59 Hg.upf
Rb 85.47 Rb.upf
CELL_PARAMETERS angstrom
-5.716 2.766 -2.570
-3.717 -3.306 4.710
0.661 5.324 4.260
ATOMIC_POSITIONS angstrom
Ca 0.331 2.662 2.130
Ca -2.858 1.383 -1.285
Hg -4.386 2.392 3.200
Ca -1.859 -1.653 2.355
Rb 0.000 0.000 0.000
! Total magnetic moment   0.010 μB per cell
! Energy relative to the elements   1009 meV/atom
! Electronic total energy   -0.59 eV per atom
! Volume   321.51 Å³/cell